# PBE Pa3Pd, optimized geometry
# * crystal system: monoclinic
# * DOS at the Fermi energy: 1.60 states/eV/atom
# * ΔE to the lowest computed polymorph: 48 meV per atom
data_Pa3Pd
_chemical_formula_sum 'Pa6 Pd2'
_cell_length_a 3.303
_cell_length_b 6.494
_cell_length_c 8.890
_cell_angle_alpha 99.14
_cell_angle_beta 90.00
_cell_angle_gamma 90.00
_space_group_name_H-M_alt 'P 1'
_space_group_IT_number 1
_space_group_name_Hall 'P 1'
loop_
_atom_site_label
_atom_site_type_symbol
_atom_site_fract_x
_atom_site_fract_y
_atom_site_fract_z
Pa1 Pa 0.250 0.955 0.166
Pa2 Pa 0.750 0.045 0.834
Pa3 Pa 0.750 0.639 0.895
Pa4 Pa 0.250 0.361 0.105
Pa5 Pa 0.750 0.202 0.434
Pa6 Pa 0.250 0.798 0.566
Pd1 Pd 0.250 0.352 0.690
Pd2 Pd 0.750 0.648 0.310



# PBE Pa3Pd, optimized geometry
# * crystal system: tetragonal
# * DOS at the Fermi energy: 2.15 states/eV/atom
# * ΔE to the lowest computed polymorph: 163 meV per atom
data_Pa3Pd
_chemical_formula_sum 'Pa3 Pd1'
_cell_length_a 4.174
_cell_length_b 4.174
_cell_length_c 5.234
_cell_angle_alpha 90.00
_cell_angle_beta 90.00
_cell_angle_gamma 90.00
_space_group_name_H-M_alt 'P 1'
_space_group_IT_number 1
_space_group_name_Hall 'P 1'
loop_
_atom_site_label
_atom_site_type_symbol
_atom_site_fract_x
_atom_site_fract_y
_atom_site_fract_z
Pa1 Pa 0.500 0.584 0.500
Pa2 Pa 0.500 0.083 0.000
Pa3 Pa 0.000 0.084 0.500
Pd1 Pd 0.000 0.583 0.000



# PBE PaPd2, optimized geometry
# * crystal system: cubic
# * DOS at the Fermi energy: 1.62 states/eV/atom
data_PaPd2
_chemical_formula_sum 'Pa2 Pd4'
_cell_length_a 5.438
_cell_length_b 5.438
_cell_length_c 5.438
_cell_angle_alpha 60.00
_cell_angle_beta 60.00
_cell_angle_gamma 60.00
_space_group_name_H-M_alt 'P 1'
_space_group_IT_number 1
_space_group_name_Hall 'P 1'
loop_
_atom_site_label
_atom_site_type_symbol
_atom_site_fract_x
_atom_site_fract_y
_atom_site_fract_z
Pd1 Pd 0.625 0.625 0.125
Pd2 Pd 0.625 0.125 0.625
Pd3 Pd 0.625 0.625 0.625
Pd4 Pd 0.125 0.625 0.625
Pa1 Pa 0.000 0.000 0.000
Pa2 Pa 0.250 0.250 0.250



# PBE Pa3Pd, optimized geometry
# * crystal system: tetragonal
# * DOS at the Fermi energy: 2.24 states/eV/atom
# * ΔE to the lowest computed polymorph: 163 meV per atom
data_Pa3Pd
_chemical_formula_sum 'Pa3 Pd1'
_cell_length_a 4.466
_cell_length_b 4.466
_cell_length_c 5.556
_cell_angle_alpha 113.70
_cell_angle_beta 113.70
_cell_angle_gamma 90.00
_space_group_name_H-M_alt 'P 1'
_space_group_IT_number 1
_space_group_name_Hall 'P 1'
loop_
_atom_site_label
_atom_site_type_symbol
_atom_site_fract_x
_atom_site_fract_y
_atom_site_fract_z
Pa1 Pa 0.250 0.750 0.500
Pa2 Pa 0.750 0.250 0.500
Pa3 Pa 0.500 0.500 0.000
Pd1 Pd 0.000 0.000 0.000



# PBE PmPa2Pd9, optimized geometry
# * crystal system: tetragonal
# * DOS at the Fermi energy: 0.81 states/eV/atom
data_PmPa2Pd9
_chemical_formula_sum 'Pm1 Pa2 Pd9'
_cell_length_a 4.170
_cell_length_b 4.170
_cell_length_c 12.497
_cell_angle_alpha 90.00
_cell_angle_beta 90.00
_cell_angle_gamma 90.00
_space_group_name_H-M_alt 'P 1'
_space_group_IT_number 1
_space_group_name_Hall 'P 1'
loop_
_atom_site_label
_atom_site_type_symbol
_atom_site_fract_x
_atom_site_fract_y
_atom_site_fract_z
Pd1 Pd 0.500 0.500 0.665
Pd2 Pd 0.000 0.500 0.172
Pd3 Pd 0.000 0.500 0.828
Pd4 Pd 0.500 0.000 0.828
Pd5 Pd 0.500 0.000 0.500
Pd6 Pd 0.500 0.000 0.172
Pd7 Pd 0.500 0.500 0.000
Pd8 Pd 0.500 0.500 0.335
Pd9 Pd 0.000 0.500 0.500
Pa1 Pa 0.000 0.000 0.332
Pa2 Pa 0.000 0.000 0.668
Pm1 Pm 0.000 0.000 0.000



# PBE Pm3PaPd12, optimized geometry
# * crystal system: tetragonal
# * DOS at the Fermi energy: 0.27 states/eV/atom
data_Pm3PaPd12
_chemical_formula_sum 'Pm3 Pa1 Pd12'
_cell_length_a 4.177
_cell_length_b 4.177
_cell_length_c 16.657
_cell_angle_alpha 90.00
_cell_angle_beta 90.00
_cell_angle_gamma 90.00
_space_group_name_H-M_alt 'P 1'
_space_group_IT_number 1
_space_group_name_Hall 'P 1'
loop_
_atom_site_label
_atom_site_type_symbol
_atom_site_fract_x
_atom_site_fract_y
_atom_site_fract_z
Pd1 Pd 0.000 0.500 0.118
Pd2 Pd 0.500 0.000 0.626
Pd3 Pd 0.500 0.000 0.118
Pd4 Pd 0.500 0.000 0.882
Pd5 Pd 0.000 0.500 0.626
Pd6 Pd 0.500 0.000 0.374
Pd7 Pd 0.500 0.500 0.754
Pd8 Pd 0.500 0.500 0.246
Pd9 Pd 0.500 0.500 0.000
Pd10 Pd 0.500 0.500 0.500
Pd11 Pd 0.000 0.500 0.882
Pd12 Pd 0.000 0.500 0.374
Pm1 Pm 0.000 0.000 0.500
Pm2 Pm 0.000 0.000 0.253
Pm3 Pm 0.000 0.000 0.747
Pa1 Pa 0.000 0.000 0.000



# PBE PmPaPd14, optimized geometry
# * crystal system: tetragonal
# * DOS at the Fermi energy: 0.94 states/eV/atom
data_PmPaPd14
_chemical_formula_sum 'Pm1 Pa1 Pd14'
_cell_length_a 5.858
_cell_length_b 5.858
_cell_length_c 7.815
_cell_angle_alpha 90.00
_cell_angle_beta 90.00
_cell_angle_gamma 90.00
_space_group_name_H-M_alt 'P 1'
_space_group_IT_number 1
_space_group_name_Hall 'P 1'
loop_
_atom_site_label
_atom_site_type_symbol
_atom_site_fract_x
_atom_site_fract_y
_atom_site_fract_z
Pd1 Pd 0.375 0.875 0.000
Pd2 Pd 0.875 0.375 0.000
Pd3 Pd 0.119 0.631 0.244
Pd4 Pd 0.631 0.631 0.756
Pd5 Pd 0.119 0.119 0.244
Pd6 Pd 0.631 0.119 0.244
Pd7 Pd 0.875 0.875 0.000
Pd8 Pd 0.631 0.119 0.756
Pd9 Pd 0.631 0.631 0.244
Pd10 Pd 0.119 0.119 0.756
Pd11 Pd 0.875 0.375 0.500
Pd12 Pd 0.119 0.631 0.756
Pd13 Pd 0.375 0.875 0.500
Pd14 Pd 0.375 0.375 0.000
Pa1 Pa 0.875 0.875 0.500
Pm1 Pm 0.375 0.375 0.500



# PBE PmPaPd6, optimized geometry
# * crystal system: tetragonal
# * DOS at the Fermi energy: 0.39 states/eV/atom
data_PmPaPd6
_chemical_formula_sum 'Pm1 Pa1 Pd6'
_cell_length_a 4.165
_cell_length_b 4.165
_cell_length_c 8.337
_cell_angle_alpha 90.00
_cell_angle_beta 90.00
_cell_angle_gamma 90.00
_space_group_name_H-M_alt 'P 1'
_space_group_IT_number 1
_space_group_name_Hall 'P 1'
loop_
_atom_site_label
_atom_site_type_symbol
_atom_site_fract_x
_atom_site_fract_y
_atom_site_fract_z
Pa1 Pa 0.000 0.000 0.500
Pd1 Pd 0.000 0.500 0.259
Pd2 Pd 0.500 0.500 0.500
Pd3 Pd 0.500 0.500 0.000
Pd4 Pd 0.000 0.500 0.741
Pd5 Pd 0.500 0.000 0.259
Pd6 Pd 0.500 0.000 0.741
Pm1 Pm 0.000 0.000 0.000



# PBE PmPaPd4, optimized geometry
# * crystal system: cubic
# * DOS at the Fermi energy: 1.44 states/eV/atom
data_PmPaPd4
_chemical_formula_sum 'Pm1 Pa1 Pd4'
_cell_length_a 5.473
_cell_length_b 5.473
_cell_length_c 5.473
_cell_angle_alpha 60.00
_cell_angle_beta 60.00
_cell_angle_gamma 60.00
_space_group_name_H-M_alt 'P 1'
_space_group_IT_number 1
_space_group_name_Hall 'P 1'
loop_
_atom_site_label
_atom_site_type_symbol
_atom_site_fract_x
_atom_site_fract_y
_atom_site_fract_z
Pd1 Pd 0.625 0.625 0.124
Pd2 Pd 0.625 0.625 0.625
Pd3 Pd 0.124 0.625 0.625
Pd4 Pd 0.625 0.124 0.625
Pa1 Pa 0.000 0.000 0.000
Pm1 Pm 0.250 0.250 0.250



# PBE PmPaPdPt, optimized geometry
# * crystal system: cubic
# * DOS at the Fermi energy: 1.64 states/eV/atom
data_PmPaPdPt
_chemical_formula_sum 'Pm1 Pa1 Pd1 Pt1'
_cell_length_a 5.019
_cell_length_b 5.019
_cell_length_c 5.019
_cell_angle_alpha 60.00
_cell_angle_beta 60.00
_cell_angle_gamma 60.00
_space_group_name_H-M_alt 'P 1'
_space_group_IT_number 1
_space_group_name_Hall 'P 1'
loop_
_atom_site_label
_atom_site_type_symbol
_atom_site_fract_x
_atom_site_fract_y
_atom_site_fract_z
Pd1 Pd 0.250 0.250 0.250
Pm1 Pm 0.500 0.500 0.500
Pa1 Pa 0.000 0.000 0.000
Pt1 Pt 0.750 0.750 0.750



# PBE PmPaRePd, optimized geometry
# * crystal system: cubic
# * DOS at the Fermi energy: 1.00 states/eV/atom
data_PmPaRePd
_chemical_formula_sum 'Pm1 Pa1 Re1 Pd1'
_cell_length_a 4.960
_cell_length_b 4.960
_cell_length_c 4.960
_cell_angle_alpha 60.00
_cell_angle_beta 60.00
_cell_angle_gamma 60.00
_space_group_name_H-M_alt 'P 1'
_space_group_IT_number 1
_space_group_name_Hall 'P 1'
loop_
_atom_site_label
_atom_site_type_symbol
_atom_site_fract_x
_atom_site_fract_y
_atom_site_fract_z
Re1 Re 0.500 0.500 0.500
Pa1 Pa 0.250 0.250 0.250
Pd1 Pd 0.000 0.000 0.000
Pm1 Pm 0.750 0.750 0.750



# PBE PmPaPdRh, optimized geometry
# * crystal system: cubic
# * DOS at the Fermi energy: 1.54 states/eV/atom
data_PmPaPdRh
_chemical_formula_sum 'Pm1 Pa1 Pd1 Rh1'
_cell_length_a 4.964
_cell_length_b 4.964
_cell_length_c 4.964
_cell_angle_alpha 60.00
_cell_angle_beta 60.00
_cell_angle_gamma 60.00
_space_group_name_H-M_alt 'P 1'
_space_group_IT_number 1
_space_group_name_Hall 'P 1'
loop_
_atom_site_label
_atom_site_type_symbol
_atom_site_fract_x
_atom_site_fract_y
_atom_site_fract_z
Rh1 Rh 0.500 0.500 0.500
Pm1 Pm 0.750 0.750 0.750
Pd1 Pd 0.000 0.000 0.000
Pa1 Pa 0.250 0.250 0.250



Number 1: formation energy from the elements -0.63 eV per formula unit, electronic total energy -68.63 eV per cell. Number 2: formation energy from the elements -0.17 eV per formula unit, electronic total energy -33.85 eV per cell. Number 3: formation energy from the elements -1.46 eV per formula unit, electronic total energy -42.69 eV per cell. Number 4: formation energy from the elements -0.17 eV per formula unit, electronic total energy -33.85 eV per cell. Number 5: formation energy from the elements -9.23 eV per formula unit, electronic total energy -79.71 eV per cell. Number 6: formation energy from the elements -13.30 eV per formula unit, electronic total energy -99.36 eV per cell. Number 7: formation energy from the elements -6.98 eV per formula unit, electronic total energy -93.92 eV per cell. Number 8: formation energy from the elements -6.58 eV per formula unit, electronic total energy -51.98 eV per cell. Number 9: formation energy from the elements -3.43 eV per formula unit, electronic total energy -38.45 eV per cell. Number 10: formation energy from the elements -2.70 eV per formula unit, electronic total energy -28.18 eV per cell. Number 11: formation energy from the elements -0.56 eV per formula unit, electronic total energy -32.45 eV per cell. Number 12: formation energy from the elements -2.12 eV per formula unit, electronic total energy -28.91 eV per cell.